1) Computed, not measured: Pr3GaSi after structural relaxation at the GGA-PBE level of DFT.

Its total moment is 0.2 μB per formula unit. The theoretical density is 6.116 g/cm³.

a b c (Å): 4.197 8.102 8.621
angles (deg): 93.25 89.97 104.96
Positions (direct):
Pr 0.068 0.169 0.385
Pr 0.427 0.888 0.632
Pr 0.617 0.266 0.789
Pr 0.976 0.985 0.037
Pr 0.258 0.550 0.035
Pr 0.786 0.604 0.387
Ga 0.231 0.494 0.641
Ga 0.813 0.660 0.781
Si 0.416 0.864 0.278
Si 0.628 0.290 0.143


2) Computed, not measured: Pr3GaSi after structural relaxation at the GGA-PBE level of DFT.

Its total moment is 0.0 μB per formula unit. The theoretical density is 6.011 g/cm³.

a b c (Å): 7.823 8.381 9.529
angles (deg): 112.98 90.00 90.00
Positions (direct):
Pr 0.179 0.606 0.792
Pr 0.821 0.394 0.208
Pr 0.679 0.894 0.208
Pr 0.321 0.106 0.792
Pr 0.678 0.484 0.848
Pr 0.322 0.516 0.152
Pr 0.178 0.016 0.152
Pr 0.822 0.984 0.848
Pr 0.997 0.207 0.556
Pr 0.003 0.793 0.444
Pr 0.497 0.293 0.444
Pr 0.503 0.707 0.556
Ga 0.851 0.552 0.584
Ga 0.149 0.448 0.416
Ga 0.351 0.948 0.416
Ga 0.649 0.052 0.584
Si 0.020 0.345 0.919
Si 0.980 0.655 0.081
Si 0.520 0.155 0.081
Si 0.480 0.845 0.919


List of relative energies, unit meV/atom: 1) 23; 2) 0


1) Computed, not measured: PrGa2Si after structural relaxation at the GGA-PBE level of DFT.

Its total moment is 0.0 μB per formula unit. The theoretical density is 6.154 g/cm³.

a b c (Å): 4.468 4.316 4.316
angles (deg): 90.00 90.00 90.00
Positions (direct):
Pr 0.500 0.000 0.000
Si 0.500 0.500 0.500
Ga 0.000 0.000 0.500
Ga 0.000 0.500 0.000


2) Computed, not measured: PrGa2Si after structural relaxation at the GGA-PBE level of DFT.

Its total moment is 0.0 μB per formula unit. The theoretical density is 5.982 g/cm³.

a b c (Å): 4.365 4.365 5.768
angles (deg): 67.77 67.77 60.00
Positions (direct):
Pr 0.500 0.500 0.500
Si 0.000 0.000 0.000
Ga 0.285 0.285 0.144
Ga 0.715 0.715 0.856


List of relative energies, unit meV/atom: 1) 0; 2) 78


1) Computed, not measured: Pr4SmGa after structural relaxation at the GGA-PBE level of DFT.

Its total moment is 0.0 μB per formula unit. The theoretical density is 6.638 g/cm³.

a b c (Å): 3.809 6.575 8.884
angles (deg): 75.52 102.37 73.16
Positions (direct):
Pr 0.367 0.968 0.200
Pr 0.636 0.027 0.796
Pr 0.781 0.577 0.639
Pr 0.222 0.417 0.358
Sm 0.501 0.498 0.999
Ga 0.001 0.997 0.498


2) Computed, not measured: Pr4SmGa after structural relaxation at the GGA-PBE level of DFT.

Its total moment is 0.0 μB per formula unit. The theoretical density is 6.669 g/cm³.

a b c (Å): 3.685 3.685 14.373
angles (deg): 90.00 90.00 90.00
Positions (direct):
Pr 0.500 0.500 0.181
Pr 0.000 0.000 0.631
Pr 0.000 0.000 0.369
Pr 0.500 0.500 0.819
Sm 0.000 0.000 0.000
Ga 0.500 0.500 0.500


List of relative energies, unit meV/atom: 1) 9; 2) 0


1) Computed, not measured: Pr2Sm3Ga4 after structural relaxation at the GGA-PBE level of DFT.

Its total moment is 0.0 μB per formula unit. The theoretical density is 6.843 g/cm³.

a b c (Å): 7.642 8.172 8.181
angles (deg): 90.00 90.00 106.03
Positions (direct):
Pr 0.573 0.189 0.317
Pr 0.927 0.811 0.817
Pr 0.427 0.811 0.683
Pr 0.073 0.189 0.183
Sm 0.000 0.500 0.500
Sm 0.500 0.500 0.000
Sm 0.752 0.237 0.825
Sm 0.748 0.763 0.325
Sm 0.248 0.763 0.175
Sm 0.252 0.237 0.675
Ga 0.869 0.080 0.530
Ga 0.631 0.920 0.030
Ga 0.131 0.920 0.470
Ga 0.369 0.080 0.970
Ga 0.882 0.492 0.120
Ga 0.618 0.508 0.620
Ga 0.118 0.508 0.880
Ga 0.382 0.492 0.380


2) Computed, not measured: Pr2Sm3Ga4 after structural relaxation at the GGA-PBE level of DFT.

Its total moment is 0.0 μB per formula unit. The theoretical density is 6.775 g/cm³.

a b c (Å): 7.096 8.813 8.688
angles (deg): 90.00 114.10 90.00
Positions (direct):
Pr 0.106 0.575 0.212
Pr 0.894 0.425 0.788
Pr 0.394 0.075 0.788
Pr 0.606 0.925 0.212
Sm 0.000 0.000 0.000
Sm 0.500 0.500 0.000
Sm 0.531 0.750 0.562
Sm 0.969 0.250 0.438
Sm 0.469 0.250 0.438
Sm 0.031 0.750 0.562
Ga 0.719 0.750 0.938
Ga 0.781 0.250 0.062
Ga 0.281 0.250 0.062
Ga 0.219 0.750 0.938
Ga 0.187 0.966 0.375
Ga 0.813 0.034 0.625
Ga 0.313 0.466 0.625
Ga 0.687 0.534 0.375


List of relative energies, unit meV/atom: 1) 0; 2) 136


1) Computed, not measured: PrSm5Ga4 after structural relaxation at the GGA-PBE level of DFT.

Its total moment is 0.0 μB per formula unit. The theoretical density is 7.322 g/cm³.

a b c (Å): 3.622 3.622 20.250
angles (deg): 90.00 90.00 90.00
Positions (direct):
Pr 0.000 0.000 0.000
Sm 0.500 0.500 0.135
Sm 0.500 0.500 0.317
Sm 0.500 0.500 0.500
Sm 0.500 0.500 0.683
Sm 0.500 0.500 0.865
Ga 0.000 0.000 0.224
Ga 0.000 0.000 0.408
Ga 0.000 0.000 0.592
Ga 0.000 0.000 0.776


2) Computed, not measured: PrSm5Ga4 after structural relaxation at the GGA-PBE level of DFT.

Its total moment is 0.0 μB per formula unit. The theoretical density is 6.574 g/cm³.

a b c (Å): 4.414 7.778 9.024
angles (deg): 99.61 104.16 90.00
Positions (direct):
Pr 0.500 0.000 0.000
Sm 0.801 0.706 0.602
Sm 0.861 0.258 0.721
Sm 0.139 0.742 0.279
Sm 0.500 0.500 0.000
Sm 0.199 0.294 0.398
Ga 0.301 0.990 0.601
Ga 0.965 0.717 0.930
Ga 0.699 0.010 0.399
Ga 0.035 0.283 0.070


List of relative energies, unit meV/atom: 1) 0; 2) 144


1) Computed, not measured: PrSmGa after structural relaxation at the GGA-PBE level of DFT.

Its total moment is 0.0 μB per formula unit. The theoretical density is 6.988 g/cm³.

a b c (Å): 4.527 8.102 8.102
angles (deg): 120.00 90.00 90.00
Positions (direct):
Pr 0.500 0.403 0.403
Pr 0.500 0.000 0.597
Pr 0.500 0.597 0.000
Sm 0.000 0.732 0.732
Sm 0.000 0.000 0.268
Sm 0.000 0.268 0.000
Ga 0.000 0.333 0.667
Ga 0.000 0.667 0.333
Ga 0.500 0.000 0.000


2) Computed, not measured: PrSmGa after structural relaxation at the GGA-PBE level of DFT.

Its total moment is 0.0 μB per formula unit. The theoretical density is 6.911 g/cm³.

a b c (Å): 3.576 3.576 7.238
angles (deg): 104.30 104.30 90.00
Positions (direct):
Pr 0.022 0.022 0.044
Sm 0.308 0.308 0.616
Ga 0.670 0.670 0.339


3) Computed, not measured: PrSmGa after structural relaxation at the GGA-PBE level of DFT.

Its total moment is 0.5 μB per formula unit. The theoretical density is 6.278 g/cm³.

a b c (Å): 5.032 5.033 8.705
angles (deg): 90.00 90.00 60.01
Last column: magnetic moment on the atom in μB.
Positions (direct):
Pr 0.155 0.561 0.018  0.12
Pr 0.155 0.561 0.561  0.12
Sm 0.822 0.227 0.789  0.18
Sm 0.488 0.894 0.289  0.04
Ga 0.821 0.227 0.142  0.01
Ga 0.821 0.227 0.436  0.01


List of relative energies, unit meV/atom: 1) 0; 2) 70; 3) 262


1) Computed, not measured: PrSmGa after structural relaxation at the GGA-PBE level of DFT.

Its total moment is 0.5 μB per formula unit. The theoretical density is 6.519 g/cm³.

a b c (Å): 3.749 3.749 7.556
angles (deg): 90.00 90.00 120.00
Last column: magnetic moment on the atom in μB.
Positions (direct):
Pr 0.000 0.000 0.041  0.08
Ga 0.667 0.333 0.337  0.00
Sm 0.333 0.667 0.622  0.12


2) Computed, not measured: PrSmGa after structural relaxation at the GGA-PBE level of DFT.

Its total moment is 0.0 μB per formula unit. The theoretical density is 6.397 g/cm³.

a b c (Å): 5.098 5.098 5.098
angles (deg): 60.00 60.00 60.00
Positions (direct):
Pr 0.500 0.500 0.500
Ga 0.250 0.250 0.250
Sm 0.000 0.000 0.000


List of relative energies, unit meV/atom: 1) 43; 2) 0


1) Computed, not measured: Pr3SmGa4 after structural relaxation at the GGA-PBE level of DFT.

Its total moment is 0.0 μB per formula unit. The theoretical density is 6.298 g/cm³.

a b c (Å): 3.777 6.945 9.430
angles (deg): 111.58 101.55 90.00
Positions (direct):
Pr 0.000 0.500 0.000
Pr 0.202 0.202 0.404
Pr 0.798 0.798 0.596
Sm 0.500 0.000 0.000
Ga 0.371 0.562 0.743
Ga 0.629 0.438 0.257
Ga 0.629 0.819 0.257
Ga 0.371 0.181 0.743


2) Computed, not measured: Pr3SmGa4 after structural relaxation at the GGA-PBE level of DFT.

Its total moment is 0.0 μB per formula unit. The theoretical density is 6.940 g/cm³.

a b c (Å): 3.708 3.708 14.829
angles (deg): 90.00 90.00 90.00
Positions (direct):
Pr 0.500 0.500 0.247
Pr 0.500 0.500 0.500
Pr 0.500 0.500 0.753
Ga 0.000 0.000 0.881
Ga 0.000 0.000 0.119
Ga 0.000 0.000 0.374
Ga 0.000 0.000 0.626
Sm 0.500 0.500 0.000


List of relative energies, unit meV/atom: 1) 132; 2) 0